No. 1
# LiLaYAg GGA-PBE optimized geometry
data_LiLaYAg
_symmetry_space_group_name_H-M 'F -4 3 m'
_symmetry_Int_Tables_number 216
_symmetry_space_group_name_Hall 'F -4 2 3'
_cell_length_a 7.524
_cell_length_b 7.524
_cell_length_c 7.524
_cell_angle_alpha 90.00
_cell_angle_beta 90.00
_cell_angle_gamma 90.00
loop_
_atom_site_label
_atom_site_type_symbol
_atom_site_fract_x
_atom_site_fract_y
_atom_site_fract_z
Li1 Li 0.000 0.000 0.000
La1 La 0.250 0.250 0.250
Y1 Y 0.250 0.250 0.750
Ag1 Ag 0.000 0.000 0.500
# Calculated formation energy in meV per atom: -71

No. 2
# Na2Li4Tl5 GGA-PBE optimized geometry
data_Na2Li4Tl5
_symmetry_space_group_name_H-M 'P -1'
_symmetry_Int_Tables_number 2
_cell_length_a 5.357
_cell_length_b 5.653
_cell_length_c 9.094
_cell_angle_alpha 94.45
_cell_angle_beta 106.06
_cell_angle_gamma 90.64
loop_
_symmetry_equiv_pos_as_xyz
'x,y,z'
'-x,-y,-z'
loop_
_atom_site_label
_atom_site_type_symbol
_atom_site_fract_x
_atom_site_fract_y
_atom_site_fract_z
Na1 Na 0.186 0.079 0.374
Li1 Li 0.086 0.547 0.173
Li2 Li 0.451 0.728 0.900
Tl1 Tl 0.000 0.000 0.000
Tl2 Tl 0.282 0.621 0.565
Tl3 Tl 0.389 0.191 0.776
# Calculated formation energy in meV per atom: -143
# Offset from the most stable computed form in meV per atom: 0